Material: Tb3MnCo3
Method: DFT, PBE-GGA
State: relaxed

Unit cell a=3.9761 b=5.6994 c=12.6906 alpha=84.10 beta=80.99 gamma=69.58
Atoms (fractional coordinates):
Tb (0.5186, 0.3362, 0.6266)
Tb (0.4814, 0.6638, 0.3734)
Tb (0.2608, 0.2503, 0.2282)
Tb (0.7392, 0.7497, 0.7718)
Tb (0.3922, 0.2907, 0.9248)
Tb (0.6078, 0.7093, 0.0752)
Mn (0.7587, 0.0648, 0.4178)
Mn (0.2413, 0.9352, 0.5822)
Co (0.8815, 0.6943, 0.5426)
Co (0.1185, 0.3057, 0.4574)
Co (0.0953, 0.8859, 0.9236)
Co (0.9047, 0.1141, 0.0764)
Co (0.9484, 0.8692, 0.2340)
Co (0.0516, 0.1308, 0.7660)

Output
ρ ... 8.85 g cm⁻³
Energy relative to the elements ... -131 meV/atom
Electronic total energy ... -6.471 eV/atom